A relaxed structure of PrPdPt. Source: OQMD via LeMat-Bulk, functional PBE-GGA.

```
data_PrPdPt
_chemical_formula_sum 'Pr4 Pd4 Pt4'
_space_group_name_H-M_alt 'F -4 3 m'
_space_group_IT_number 216
_space_group_name_Hall 'F -4 2 3'
_cell_length_a 6.7151
_cell_length_b 6.7151
_cell_length_c 6.7151
_cell_angle_alpha 90.00
_cell_angle_beta 90.00
_cell_angle_gamma 90.00
loop_
_atom_site_label
_atom_site_fract_x
_atom_site_fract_y
_atom_site_fract_z
_atom_site_occupancy
Pr1 0.0000 0.0000 0.0000 1
Pd1 0.2500 0.2500 0.7500 1
Pt1 0.2500 0.2500 0.2500 1
```

Properties
Energy relative to the elements   -0.93 eV per formula unit
Spin magnetization   0.0029 μB/atom


A relaxed structure of PrHfTe. Source: OQMD via LeMat-Bulk, functional PBE-GGA.

```
data_PrHfTe
_chemical_formula_sum 'Pr4 Hf4 Te4'
_space_group_name_H-M_alt 'F -4 3 m'
_space_group_IT_number 216
_space_group_name_Hall 'F -4 2 3'
_cell_length_a 7.0763
_cell_length_b 7.0763
_cell_length_c 7.0763
_cell_angle_alpha 90.00
_cell_angle_beta 90.00
_cell_angle_gamma 90.00
loop_
_atom_site_label
_atom_site_fract_x
_atom_site_fract_y
_atom_site_fract_z
_atom_site_occupancy
Pr1 0.0000 0.0000 0.0000 1
Hf1 0.0000 0.0000 0.5000 1
Te1 0.2500 0.2500 0.7500 1
```

Properties
Raw total energy   -0.2220 hartree per atom
Spin magnetization   0.0009 μB/atom


A relaxed structure of RbCoAg. Source: OQMD via LeMat-Bulk, functional PBE-GGA.

```
data_RbCoAg
_chemical_formula_sum 'Rb4 Co4 Ag4'
_space_group_name_H-M_alt 'F -4 3 m'
_space_group_IT_number 216
_space_group_name_Hall 'F -4 2 3'
_cell_length_a 7.1145
_cell_length_b 7.1145
_cell_length_c 7.1145
_cell_angle_alpha 90.00
_cell_angle_beta 90.00
_cell_angle_gamma 90.00
loop_
_atom_site_label
_atom_site_fract_x
_atom_site_fract_y
_atom_site_fract_z
_atom_site_occupancy
Rb1 0.0000 0.0000 0.0000 1
Co1 0.2500 0.2500 0.7500 1
Ag1 0.0000 0.0000 0.5000 1
```

Properties
Raw total energy   -0.0908 hartree per atom
Spin magnetization   0.6998 μB/atom


A relaxed structure of KRb2P2Au3. Source: OQMD via LeMat-Bulk, functional PBE-GGA.

```
data_KRb2P2Au3
_chemical_formula_sum 'K3 Rb6 P6 Au9'
_space_group_name_H-M_alt 'R -3 m'
_space_group_IT_number 166
_space_group_name_Hall '-R 3 2"'
_cell_length_a 6.5133
_cell_length_b 6.5133
_cell_length_c 19.7213
_cell_angle_alpha 90.00
_cell_angle_beta 90.00
_cell_angle_gamma 120.00
loop_
_atom_site_label
_atom_site_fract_x
_atom_site_fract_y
_atom_site_fract_z
_atom_site_occupancy
K1 0.0000 0.0000 0.0000 1
Rb1 0.0000 0.0000 0.4108 1
P1 0.0000 0.0000 0.2431 1
Au1 0.0000 0.5000 0.5000 1
```

Properties
Raw total energy   -0.1263 hartree per atom


A relaxed structure of DyAsNO. Source: OQMD via LeMat-Bulk, functional PBE-GGA.

```
data_DyAsNO
_chemical_formula_sum 'Dy2 As2 N2 O2'
_space_group_name_H-M_alt 'P 4/n m m'
_space_group_IT_number 129
_cell_length_a 4.2209
_cell_length_b 4.2209
_cell_length_c 6.9760
_cell_angle_alpha 90.00
_cell_angle_beta 90.00
_cell_angle_gamma 90.00
loop_
_space_group_symop_operation_xyz
'x,y,z'
'-x,-y,-z'
'-y+1/2,x,z'
'y+1/2,-x,-z'
'-x+1/2,-y+1/2,z'
'x+1/2,y+1/2,-z'
'y,-x+1/2,z'
'-y,x+1/2,-z'
'x+1/2,-y,-z'
'-x+1/2,y,z'
'-y,-x,-z'
'y,x,z'
'-x,y+1/2,-z'
'x,-y+1/2,z'
'y+1/2,x+1/2,-z'
'-y+1/2,-x+1/2,z'
loop_
_atom_site_label
_atom_site_fract_x
_atom_site_fract_y
_atom_site_fract_z
_atom_site_occupancy
Dy1 0.2500 0.2500 0.1371 1
As1 0.2500 0.7500 0.5000 1
N1 0.2500 0.2500 0.4733 1
O1 0.2500 0.7500 0.0000 1
```

Properties
Raw total energy   -0.2525 hartree per atom
Spin magnetization   0.0001 μB/atom


A relaxed structure of LiHg3MoS4. Source: OQMD via LeMat-Bulk, functional PBE-GGA.

```
data_LiHg3MoS4
_chemical_formula_sum 'Li1 Hg3 Mo1 S4'
_space_group_name_H-M_alt 'P -4 3 m'
_space_group_IT_number 215
_space_group_name_Hall 'P -4 2 3'
_cell_length_a 6.0521
_cell_length_b 6.0521
_cell_length_c 6.0521
_cell_angle_alpha 90.00
_cell_angle_beta 90.00
_cell_angle_gamma 90.00
loop_
_atom_site_label
_atom_site_fract_x
_atom_site_fract_y
_atom_site_fract_z
_atom_site_occupancy
Li1 0.0000 0.0000 0.0000 1
Hg1 0.0000 0.5000 0.5000 1
Mo1 0.5000 0.5000 0.5000 1
S1 0.2440 0.2440 0.2440 1
```

Properties
Raw total energy   -0.1207 hartree per atom
Spin magnetization   0.5324 μB/atom


A relaxed structure of TbDyIn4Cu2. Source: OQMD via LeMat-Bulk, functional PBE-GGA.

```
data_TbDyIn4Cu2
_chemical_formula_sum 'Tb2 Dy2 In8 Cu4'
_space_group_name_H-M_alt 'A m m 2'
_space_group_IT_number 38
_space_group_name_Hall 'A 2 -2'
_cell_length_a 7.3355
_cell_length_b 4.4151
_cell_length_c 10.7352
_cell_angle_alpha 90.00
_cell_angle_beta 90.00
_cell_angle_gamma 90.00
loop_
_atom_site_label
_atom_site_fract_x
_atom_site_fract_y
_atom_site_fract_z
_atom_site_occupancy
Tb1 0.0000 0.0000 0.0000 1
Dy1 0.5000 0.0000 0.8535 1
In1 0.2020 0.0000 0.2899 1
In2 0.2984 0.0000 0.5639 1
Cu1 0.0000 0.0000 0.7165 1
Cu2 0.5000 0.0000 0.1368 1
```

Properties
Raw total energy   -0.1391 hartree per atom
Spin magnetization   0.0016 μB/atom


A relaxed structure of Ta4InAuC2. Source: OQMD via LeMat-Bulk, functional PBE-GGA.

```
data_Ta4InAuC2
_chemical_formula_sum 'Ta4 In1 Au1 C2'
_space_group_name_H-M_alt 'P -6 m 2'
_space_group_IT_number 187
_space_group_name_Hall 'P -6 2'
_cell_length_a 3.1639
_cell_length_b 3.1639
_cell_length_c 14.1747
_cell_angle_alpha 90.00
_cell_angle_beta 90.00
_cell_angle_gamma 120.00
loop_
_atom_site_label
_atom_site_fract_x
_atom_site_fract_y
_atom_site_fract_z
_atom_site_occupancy
Ta1 0.0000 0.0000 0.1592 1
Ta2 0.3333 0.6667 0.3288 1
In1 0.0000 0.0000 0.5000 1
Au1 0.3333 0.6667 0.0000 1
C1 0.6667 0.3333 0.2433 1
```

Properties
Raw total energy   -0.3457 hartree per atom
Spin magnetization   0.0001 μB/atom